# ScSiW2 | Alexandria via LeMat-Bulk | PBE-GGA | optimized geometry
# polymorph energy (0 for the lowest one)	270	meV per atom
# formation energy without anion corrections	155	meV per atom
# total moment	0.00	μB/cell
# total DFT energy (no corrections)	-37.0	eV per cell
data_ScSiW2
_cell_length_a 2.802
_cell_length_b 2.802
_cell_length_c 8.393
_cell_angle_alpha 90.00
_cell_angle_beta 90.00
_cell_angle_gamma 90.00
_space_group_name_H-M_alt 'P 4 m m'
_space_group_IT_number 99
loop_
_space_group_symop_operation_xyz
'x,y,z'
'-y,x,z'
'-x,-y,z'
'y,-x,z'
'-x,y,z'
'y,x,z'
'x,-y,z'
'-y,-x,z'
loop_
_atom_site_label
_atom_site_fract_x
_atom_site_fract_y
_atom_site_fract_z
Sc1 0.000 0.000 0.000
Si1 0.500 0.500 0.253
W1 0.000 0.000 0.465
W2 0.500 0.500 0.727

---

# Sc2SiW | Alexandria via LeMat-Bulk | PBE-GGA | optimized geometry
# polymorph energy (0 for the lowest one)	540	meV per atom
# formation energy without anion corrections	391	meV per atom
# total moment	1.98	μB/cell
# total DFT energy (no corrections)	-117.9	eV per cell
data_Sc2SiW
_cell_length_a 7.621
_cell_length_b 7.621
_cell_length_c 5.207
_cell_angle_alpha 90.00
_cell_angle_beta 90.00
_cell_angle_gamma 90.00
_space_group_name_H-M_alt 'I -4 2 d'
_space_group_IT_number 122
_space_group_name_Hall 'I -4 2bw'
loop_
_atom_site_label
_atom_site_fract_x
_atom_site_fract_y
_atom_site_fract_z
Sc1 0.226 0.250 0.125
Si1 0.000 0.000 0.000
W1 0.000 0.000 0.500

---

# ScSiW2 | Alexandria via LeMat-Bulk | PBE-GGA | optimized geometry
# polymorph energy (0 for the lowest one)	0	meV per atom
# formation energy without anion corrections	-115	meV per atom
# total moment	0.00	μB/cell
# total DFT energy (no corrections)	-38.1	eV per cell
data_ScSiW2
_cell_length_a 3.261
_cell_length_b 3.261
_cell_length_c 6.207
_cell_angle_alpha 90.00
_cell_angle_beta 90.00
_cell_angle_gamma 90.00
_space_group_name_H-M_alt 'P 4 m m'
_space_group_IT_number 99
loop_
_space_group_symop_operation_xyz
'x,y,z'
'-y,x,z'
'-x,-y,z'
'y,-x,z'
'-x,y,z'
'y,x,z'
'x,-y,z'
'-y,-x,z'
loop_
_atom_site_label
_atom_site_fract_x
_atom_site_fract_y
_atom_site_fract_z
Sc1 0.000 0.000 0.000
Si1 0.500 0.500 0.273
W1 0.000 0.000 0.482
W2 0.500 0.500 0.720

---

# ScSiW2 | Alexandria via LeMat-Bulk | PBE-GGA | optimized geometry
# polymorph energy (0 for the lowest one)	131	meV per atom
# formation energy without anion corrections	16	meV per atom
# total moment	0.00	μB/cell
# total DFT energy (no corrections)	-37.6	eV per cell
data_ScSiW2
_cell_length_a 2.920
_cell_length_b 4.488
_cell_length_c 5.184
_cell_angle_alpha 90.00
_cell_angle_beta 100.43
_cell_angle_gamma 90.00
_space_group_name_H-M_alt 'P 1 m 1'
_space_group_IT_number 6
loop_
_space_group_symop_operation_xyz
'x,y,z'
'x,-y,z'
loop_
_atom_site_label
_atom_site_fract_x
_atom_site_fract_y
_atom_site_fract_z
Sc1 0.000 0.000 0.000
Si1 0.582 0.500 0.219
W1 0.302 0.500 0.694
W2 0.568 0.000 0.497